Record 1
Entry from Alexandria: a geometry-optimized LiLaY2 structure (PBE).

```
data_LiLaY2
_chemical_formula_sum 'Li1 La1 Y2'
_cell_length_a 3.562
_cell_length_b 3.562
_cell_length_c 11.599
_cell_angle_alpha 81.18
_cell_angle_beta 81.18
_cell_angle_gamma 60.04
_symmetry_space_group_name_H-M 'P 1'
_symmetry_Int_Tables_number 1
_symmetry_space_group_name_Hall 'P 1'
loop_
_atom_site_label
_atom_site_fract_x
_atom_site_fract_y
_atom_site_fract_z
Li1 0.667 0.667 0.000
Y1 0.078 0.078 0.766
La1 0.500 0.500 0.500
Y2 0.255 0.255 0.233
```

Calculated values
* total magnetic moment: 0.00 μB/f.u.
* calculated density: 4.3 g cm⁻³
* electronic total energy: -4.81 eV per atom
* space group: R3m, No. 160


Record 2
Entry from Alexandria: a geometry-optimized BaSr3Ir structure (PBE).

```
data_BaSr3Ir
_chemical_formula_sum 'Ba1 Sr3 Ir1'
_cell_length_a 4.241
_cell_length_b 11.605
_cell_length_c 11.605
_cell_angle_alpha 139.34
_cell_angle_beta 90.00
_cell_angle_gamma 90.00
_symmetry_space_group_name_H-M 'P 1'
_symmetry_Int_Tables_number 1
_symmetry_space_group_name_Hall 'P 1'
loop_
_atom_site_label
_atom_site_fract_x
_atom_site_fract_y
_atom_site_fract_z
Sr1 0.500 0.663 0.817
Ir1 0.000 0.405 0.595
Sr2 0.000 0.278 0.722
Sr3 0.500 0.183 0.337
Ba1 0.500 0.100 0.900
```

Calculated values
* total magnetic moment: 0.00 μB/f.u.
* calculated density: 2.6 g cm⁻³
* electronic total energy: -2.83 eV per atom
* space group: Amm2, No. 38


Record 3
Entry from Alexandria: a geometry-optimized La3MnNi structure (PBE).

```
data_La3MnNi
_chemical_formula_sum 'La3 Mn1 Ni1'
_cell_length_a 5.165
_cell_length_b 5.165
_cell_length_c 5.165
_cell_angle_alpha 90.00
_cell_angle_beta 90.00
_cell_angle_gamma 90.00
_symmetry_space_group_name_H-M 'P 1'
_symmetry_Int_Tables_number 1
_symmetry_space_group_name_Hall 'P 1'
loop_
_atom_site_label
_atom_site_fract_x
_atom_site_fract_y
_atom_site_fract_z
Mn1 0.000 0.000 0.000
La1 0.000 0.000 0.500
La2 0.000 0.500 0.000
La3 0.500 0.000 0.000
Ni1 0.500 0.500 0.500
```

Calculated values
* total magnetic moment: 0.00 μB/f.u.
* calculated density: 6.4 g cm⁻³
* electronic total energy: -5.64 eV per atom
* space group: Pm-3m, No. 221


Record 4
Entry from Alexandria: a geometry-optimized NdHo8Er2 structure (PBE).

```
data_NdHo8Er2
_chemical_formula_sum 'Nd1 Ho8 Er2'
_cell_length_a 5.466
_cell_length_b 8.085
_cell_length_c 9.312
_cell_angle_alpha 115.73
_cell_angle_beta 107.07
_cell_angle_gamma 90.00
_symmetry_space_group_name_H-M 'P 1'
_symmetry_Int_Tables_number 1
_symmetry_space_group_name_Hall 'P 1'
loop_
_atom_site_label
_atom_site_fract_x
_atom_site_fract_y
_atom_site_fract_z
Ho1 0.360 0.154 0.720
Ho2 0.164 0.164 0.327
Ho3 0.640 0.433 0.280
Ho4 0.000 0.296 0.000
Er1 0.800 0.301 0.601
Nd1 0.500 0.000 0.000
Ho5 0.640 0.846 0.280
Ho6 0.000 0.704 0.000
Er2 0.200 0.699 0.399
Ho7 0.360 0.567 0.720
Ho8 0.836 0.836 0.673
```

Calculated values
* total magnetic moment: 0.00 μB/f.u.
* calculated density: 8.5 g cm⁻³
* electronic total energy: -4.48 eV per atom
* space group: Immm, No. 71


Record 5
Entry from Alexandria: a geometry-optimized InCu2Sb structure (PBE).

```
data_InCu2Sb
_chemical_formula_sum 'In1 Cu2 Sb1'
_cell_length_a 8.163
_cell_length_b 8.163
_cell_length_c 8.163
_cell_angle_alpha 24.11
_cell_angle_beta 24.11
_cell_angle_gamma 24.11
_symmetry_space_group_name_H-M 'P 1'
_symmetry_Int_Tables_number 1
_symmetry_space_group_name_Hall 'P 1'
loop_
_atom_site_label
_atom_site_fract_x
_atom_site_fract_y
_atom_site_fract_z
In1 0.515 0.515 0.515
Cu1 0.991 0.991 0.991
Sb1 0.734 0.734 0.734
Cu2 0.260 0.260 0.260
```

Calculated values
* total magnetic moment: 0.00 μB/f.u.
* energy relative to the elements, uncorrected: 0.215 eV per atom
* calculated density: 7.6 g cm⁻³
* space group: R3m, No. 160


Record 6
Entry from Alexandria: a geometry-optimized HoEr2Zr structure (PBE).

```
data_HoEr2Zr
_chemical_formula_sum 'Ho1 Er2 Zr1'
_cell_length_a 3.417
_cell_length_b 3.417
_cell_length_c 11.385
_cell_angle_alpha 81.37
_cell_angle_beta 81.37
_cell_angle_gamma 60.00
_symmetry_space_group_name_H-M 'P 1'
_symmetry_Int_Tables_number 1
_symmetry_space_group_name_Hall 'P 1'
loop_
_atom_site_label
_atom_site_fract_x
_atom_site_fract_y
_atom_site_fract_z
Er1 0.245 0.245 0.264
Ho1 0.000 0.000 0.000
Zr1 0.500 0.500 0.500
Er2 0.755 0.755 0.736
```

Calculated values
* total magnetic moment: 0.00 μB/f.u.
* calculated density: 8.6 g cm⁻³
* electronic total energy: -5.49 eV per atom
* space group: R-3m, No. 166


Record 7
Entry from Alexandria: a geometry-optimized AlSb2P structure (PBE).

```
data_AlSb2P
_chemical_formula_sum 'Al1 Sb2 P1'
_cell_length_a 4.959
_cell_length_b 4.959
_cell_length_c 4.959
_cell_angle_alpha 60.00
_cell_angle_beta 60.00
_cell_angle_gamma 60.00
_symmetry_space_group_name_H-M 'P 1'
_symmetry_Int_Tables_number 1
_symmetry_space_group_name_Hall 'P 1'
loop_
_atom_site_label
_atom_site_fract_x
_atom_site_fract_y
_atom_site_fract_z
Al1 0.000 0.000 0.000
P1 0.500 0.500 0.500
Sb1 0.750 0.750 0.750
Sb2 0.250 0.250 0.250
```

Calculated values
* total magnetic moment: 0.00 μB/f.u.
* energy relative to the elements, uncorrected: 0.394 eV per atom
* calculated density: 5.8 g cm⁻³
* space group: Fm-3m, No. 225


Record 8
Entry from Alexandria: a geometry-optimized CsScFe2Cu structure (PBE).

```
data_CsScFe2Cu
_chemical_formula_sum 'Cs1 Sc1 Fe2 Cu1'
_cell_length_a 4.795
_cell_length_b 6.381
_cell_length_c 4.795
_cell_angle_alpha 90.00
_cell_angle_beta 90.00
_cell_angle_gamma 90.00
_symmetry_space_group_name_H-M 'P 1'
_symmetry_Int_Tables_number 1
_symmetry_space_group_name_Hall 'P 1'
loop_
_atom_site_label
_atom_site_fract_x
_atom_site_fract_y
_atom_site_fract_z
Cs1 0.000 0.500 0.000
Fe1 0.500 0.000 0.000
Cu1 0.500 0.500 0.500
Fe2 0.000 0.000 0.500
Sc1 0.000 0.000 0.000
```

Calculated values
* total magnetic moment: 4.80 μB/f.u.
* calculated density: 4.0 g cm⁻³
* electronic total energy: -4.03 eV per atom
* space group: P4/mmm, No. 123


Q: What is the total magnetic moment in the third record?
A: 0.00 μB/f.u.


Repeat the sixth record exactly.
Entry from Alexandria: a geometry-optimized HoEr2Zr structure (PBE).

```
data_HoEr2Zr
_chemical_formula_sum 'Ho1 Er2 Zr1'
_cell_length_a 3.417
_cell_length_b 3.417
_cell_length_c 11.385
_cell_angle_alpha 81.37
_cell_angle_beta 81.37
_cell_angle_gamma 60.00
_symmetry_space_group_name_H-M 'P 1'
_symmetry_Int_Tables_number 1
_symmetry_space_group_name_Hall 'P 1'
loop_
_atom_site_label
_atom_site_fract_x
_atom_site_fract_y
_atom_site_fract_z
Er1 0.245 0.245 0.264
Ho1 0.000 0.000 0.000
Zr1 0.500 0.500 0.500
Er2 0.755 0.755 0.736
```

Calculated values
* total magnetic moment: 0.00 μB/f.u.
* calculated density: 8.6 g cm⁻³
* electronic total energy: -5.49 eV per atom
* space group: R-3m, No. 166